Compound: NbGaW2Br
Source: Alexandria via LeMat-Bulk
Functional: PBE
Structure: relaxed

Results
E_form (uncorrected): 8.9 eV per formula unit

a b c (Å): 4.616 4.616 4.696
angles (deg): 90.00 90.00 90.00
Space group P4/mmm (No. 123)
Inequivalent atoms, fractional coordinates:
Nb  0.000  0.000  0.000 (multiplicity 1)
Ga  0.500  0.500  0.000 (multiplicity 1)
W  0.000  0.500  0.500 (multiplicity 2)
Br  0.000  0.000  0.500 (multiplicity 1)

***

Compound: NdGaBr2
Source: Alexandria via LeMat-Bulk
Functional: PBE
Structure: relaxed

Results
E_form (uncorrected): -2.7 eV per formula unit

a b c (Å): 4.0885 4.0885 29.1375
angles (deg): 90.00 90.00 120.00
Space group R-3m (No. 166, hexagonal axes)
Inequivalent atoms, fractional coordinates:
Nd  0.0000  0.0000  0.0000 (multiplicity 3)
Ga  0.0000  0.0000  0.5000 (multiplicity 3)
Br  0.0000  0.0000  0.0987 (multiplicity 6)

***

Compound: Nd5Ga2Br
Source: Alexandria via LeMat-Bulk
Functional: PBE
Structure: relaxed

Results
E_form (uncorrected): -4.0 eV per formula unit

a b c (Å): 7.967 7.967 14.500
angles (deg): 90.00 90.00 90.00
Space group I4/mcm (No. 140)
Inequivalent atoms, fractional coordinates:
Nd  0.000  0.000  0.000 (multiplicity 4)
Nd  0.163  0.337  0.144 (multiplicity 16)
Ga  0.127  0.373  0.500 (multiplicity 8)
Br  0.000  0.000  0.250 (multiplicity 4)

***

Compound: NdGaBr
Source: Alexandria via LeMat-Bulk
Functional: PBE
Structure: relaxed

Results
E_form (uncorrected): -3.8 eV per formula unit

a b c (Å): 7.346 4.241 11.827
angles (deg): 90.00 102.15 90.00
Space group C2/m (No. 12)
Inequivalent atoms, fractional coordinates:
Nd  0.062  0.000  0.184 (multiplicity 4)
Ga  0.158  0.500  0.974 (multiplicity 4)
Br  0.218  0.000  0.660 (multiplicity 4)

***

Compound: NdGa2Br5
Source: Alexandria via LeMat-Bulk
Functional: PBE
Structure: relaxed

Results
E_form (uncorrected): -9.6 eV per formula unit

a b c (Å): 15.830 7.831 10.926
angles (deg): 90.00 115.03 90.00
Space group C2/c (No. 15)
Inequivalent atoms, fractional coordinates:
Nd  0.000  0.000  0.000 (multiplicity 4)
Ga  0.120  0.474  0.220 (multiplicity 8)
Br  0.000  0.150  0.750 (multiplicity 4)
Br  0.079  0.317  0.461 (multiplicity 8)
Br  0.181  0.153  0.151 (multiplicity 8)

***

Compound: NdGaBr
Source: Alexandria via LeMat-Bulk
Functional: PBE
Structure: relaxed

Results
E_form (uncorrected): -3.1 eV per formula unit

a b c (Å): 3.892 3.985 10.547
angles (deg): 90.00 90.06 90.00
Space group P2_1/m (No. 11)
Inequivalent atoms, fractional coordinates:
Nd  0.249  0.250  0.266 (multiplicity 2)
Ga  0.250  0.750  0.497 (multiplicity 2)
Br  0.251  0.250  0.862 (multiplicity 2)

***

Compound: Nd4Ga2Br3
Source: Alexandria via LeMat-Bulk
Functional: PBE
Structure: relaxed

Results
E_form (uncorrected): -9.9 eV per formula unit

a b c (Å): 7.225 4.172 18.779
angles (deg): 90.00 90.06 90.00
Space group C2/m (No. 12)
Inequivalent atoms, fractional coordinates:
Nd  0.001  0.000  0.301 (multiplicity 4)
Nd  0.166  0.500  0.891 (multiplicity 4)
Ga  0.167  0.500  0.203 (multiplicity 4)
Br  0.000  0.000  0.000 (multiplicity 2)
Br  0.166  0.500  0.602 (multiplicity 4)

***

Compound: Nd2GaBr2
Source: Alexandria via LeMat-Bulk
Functional: PBE
Structure: relaxed

Results
E_form (uncorrected): -6.3 eV per formula unit

a b c (Å): 7.129 4.121 11.394
angles (deg): 90.00 90.48 90.00
Space group C2/m (No. 12)
Inequivalent atoms, fractional coordinates:
Nd  0.169  0.000  0.168 (multiplicity 4)
Ga  0.000  0.500  0.000 (multiplicity 2)
Br  0.163  0.000  0.670 (multiplicity 4)

***

Compound: NdGa3Br6
Source: Alexandria via LeMat-Bulk
Functional: PBE
Structure: relaxed

Results
E_form (uncorrected): -10.6 eV per formula unit

a b c (Å): 7.536 8.450 13.170
angles (deg): 90.00 122.58 90.00
Space group P2_1/c (No. 14)
Inequivalent atoms, fractional coordinates:
Nd  0.000  0.000  0.000 (multiplicity 2)
Ga  0.312  0.094  0.798 (multiplicity 4)
Ga  0.500  0.000  0.500 (multiplicity 2)
Br  0.094  0.070  0.241 (multiplicity 4)
Br  0.265  0.719  0.090 (multiplicity 4)
Br  0.370  0.171  0.043 (multiplicity 4)

***

Compound: NdGaBr4
Source: Alexandria via LeMat-Bulk
Functional: PBE
Structure: relaxed

Results
E_form (uncorrected): -8.5 eV per formula unit

a b c (Å): 13.909 4.400 7.946
angles (deg): 90.00 100.61 90.00
Space group C2/m (No. 12)
Inequivalent atoms, fractional coordinates:
Nd  0.000  0.000  0.000 (multiplicity 2)
Ga  0.000  0.500  0.500 (multiplicity 2)
Br  0.113  0.000  0.339 (multiplicity 4)
Br  0.118  0.500  0.893 (multiplicity 4)

***

Compound: Nd7GaBr12
Source: Alexandria via LeMat-Bulk
Functional: PBE
Structure: relaxed

Results
E_form (uncorrected): -32.2 eV per formula unit

a b c (Å): 15.3527 15.3527 10.1667
angles (deg): 90.00 90.00 120.00
Space group R-3 (No. 148, hexagonal axes)
Inequivalent atoms, fractional coordinates:
Nd  0.0000  0.0000  0.0000 (multiplicity 3)
Nd  0.0473  0.8769  0.3384 (multiplicity 18)
Ga  0.0000  0.0000  0.5000 (multiplicity 3)
Br  0.0262  0.4382  0.1658 (multiplicity 18)
Br  0.0500  0.8680  0.8419 (multiplicity 18)

***

Compound: Nd8Ga3NiBr4
Source: Alexandria via LeMat-Bulk
Functional: PBE
Structure: relaxed

Results
E_form (uncorrected): -13.6 eV per formula unit

a b c (Å): 14.775 8.430 8.894
angles (deg): 90.00 123.92 90.00
Space group C2/m (No. 12)
Inequivalent atoms, fractional coordinates:
Nd  0.008  0.238  0.284 (multiplicity 8)
Nd  0.232  0.000  0.718 (multiplicity 4)
Nd  0.244  0.500  0.734 (multiplicity 4)
Ga  0.000  0.500  0.500 (multiplicity 2)
Ga  0.250  0.250  0.500 (multiplicity 4)
Ni  0.000  0.000  0.500 (multiplicity 2)
Br  0.000  0.000  0.000 (multiplicity 2)
Br  0.000  0.500  0.000 (multiplicity 2)
Br  0.250  0.250  0.000 (multiplicity 4)

***

Number 1: total magnetic moment 0.0 μB per formula unit, mass density 10.1 g/cm³. Number 2: total magnetic moment 0.0 μB per formula unit, mass density 4.4 g/cm³. Number 3: total magnetic moment 2.6 μB per formula unit, mass density 6.8 g/cm³. Number 4: total magnetic moment 0.0 μB per formula unit, mass density 5.4 g/cm³. Number 5: total magnetic moment 0.0 μB per formula unit, mass density 3.7 g/cm³. Number 6: total magnetic moment 0.0 μB per formula unit, mass density 6.0 g/cm³. Number 7: total magnetic moment 0.0 μB per formula unit, mass density 5.6 g/cm³. Number 8: total magnetic moment 0.0 μB per formula unit, mass density 5.1 g/cm³. Number 9: total magnetic moment 0.0 μB per formula unit, mass density 3.9 g/cm³. Number 10: total magnetic moment 0.0 μB per formula unit, mass density 3.7 g/cm³. Number 11: total magnetic moment 0.0 μB per formula unit, mass density 4.9 g/cm³. Number 12: total magnetic moment 0.0 μB per formula unit, mass density 6.3 g/cm³.